1.
{
  "formula": "GdBIr",
  "functional": "PBE",
  "state": "relaxed",
  "formation_enthalpy_0k_ev_per_atom": -0.63,
  "dos_ef_per_ev_atom": 0.804,
  "space_group": "P-6m2, No. 187",
  "mass_density_g_cm3": 11.694,
  "magnetic_moment_mub_per_cell": 7.3,
  "cell": [[-3.787, -1.984, -0.639], [1.063, -0.929, -3.416], [0.707, -2.264, 2.836]],
  "species": ["Gd", "B", "Ir"],
  "frac_coords": [[0.667, 0.333, 0.667], [0.167, 0.667, 0.333], [0.167, 0.000, 0.000]]
}


2.
{
  "formula": "K3GdB2O6",
  "functional": "PBE",
  "state": "relaxed",
  "total_energy_ev_per_atom": -7.512,
  "dos_ef_per_ev_atom": 0.000,
  "space_group": "Pnma, No. 62",
  "mass_density_g_cm3": 3.564,
  "magnetic_moment_mub_per_cell": 27.9,
  "cell": [[7.150, 0.000, 0.000], [0.000, 9.065, 0.000], [0.000, 0.000, 11.277]],
  "species": ["K", "K", "K", "K", "K", "K", "K", "K", "K", "K", "K", "K", "Gd", "Gd", "Gd", "Gd", "B", "B", "B", "B", "B", "B", "B", "B", "O", "O", "O", "O", "O", "O", "O", "O", "O", "O", "O", "O", "O", "O", "O", "O", "O", "O", "O", "O", "O", "O", "O", "O"],
  "frac_coords": [[0.250, 0.941, 0.130], [0.750, 0.059, 0.870], [0.750, 0.559, 0.630], [0.250, 0.441, 0.370], [0.503, 0.699, 0.904], [0.497, 0.301, 0.096], [0.497, 0.801, 0.404], [0.003, 0.301, 0.096], [0.503, 0.199, 0.596], [0.997, 0.699, 0.904], [0.997, 0.199, 0.596], [0.003, 0.801, 0.404], [0.250, 0.875, 0.669], [0.750, 0.125, 0.331], [0.750, 0.625, 0.169], [0.250, 0.375, 0.831], [0.250, 0.564, 0.628], [0.750, 0.436, 0.372], [0.750, 0.936, 0.128], [0.250, 0.064, 0.872], [0.250, 0.587, 0.115], [0.750, 0.413, 0.885], [0.750, 0.913, 0.615], [0.250, 0.087, 0.385], [0.080, 0.625, 0.169], [0.920, 0.375, 0.831], [0.920, 0.875, 0.669], [0.580, 0.375, 0.831], [0.080, 0.125, 0.331], [0.420, 0.625, 0.169], [0.420, 0.125, 0.331], [0.580, 0.875, 0.669], [0.250, 0.508, 0.009], [0.750, 0.492, 0.991], [0.750, 0.992, 0.509], [0.250, 0.008, 0.491], [0.250, 0.623, 0.744], [0.750, 0.377, 0.256], [0.750, 0.877, 0.244], [0.250, 0.123, 0.756], [0.250, 0.663, 0.535], [0.750, 0.337, 0.465], [0.750, 0.837, 0.035], [0.250, 0.163, 0.965], [0.250, 0.913, 0.883], [0.750, 0.087, 0.117], [0.750, 0.587, 0.383], [0.250, 0.413, 0.617]]
}


3.
{
  "formula": "LaGdB12",
  "functional": "PBE",
  "state": "relaxed",
  "formation_enthalpy_0k_ev_per_atom": -0.51,
  "dos_ef_per_ev_atom": 0.160,
  "space_group": "P4/mmm, No. 123",
  "mass_density_g_cm3": 5.008,
  "magnetic_moment_mub_per_cell": 6.8,
  "cell": [[-2.950, -0.358, -2.873], [1.704, -3.531, -1.310], [-4.681, -4.238, 5.335]],
  "species": ["La", "Gd", "B", "B", "B", "B", "B", "B", "B", "B", "B", "B", "B", "B"],
  "frac_coords": [[0.000, 0.000, 0.500], [0.000, 0.000, 0.000], [0.199, 0.500, 0.248], [0.199, 0.500, 0.752], [0.500, 0.500, 0.399], [0.500, 0.500, 0.901], [0.500, 0.199, 0.248], [0.500, 0.199, 0.752], [0.500, 0.500, 0.099], [0.500, 0.500, 0.601], [0.500, 0.801, 0.248], [0.500, 0.801, 0.752], [0.801, 0.500, 0.248], [0.801, 0.500, 0.752]]
}


4.
{
  "formula": "La4GdSc15B20O60",
  "functional": "PBE",
  "state": "relaxed",
  "total_energy_ev_per_atom": -8.647,
  "dos_ef_per_ev_atom": 0.000,
  "space_group": "C2, No. 5",
  "mass_density_g_cm3": 3.752,
  "magnetic_moment_mub_per_cell": 7.0,
  "cell": [[-1.926, -2.081, -7.298], [6.959, 0.155, -3.584], [3.101, -18.315, 3.611]],
  "species": ["La", "La", "La", "La", "Gd", "Sc", "Sc", "Sc", "Sc", "Sc", "Sc", "Sc", "Sc", "Sc", "Sc", "Sc", "Sc", "Sc", "Sc", "Sc", "B", "B", "B", "B", "B", "B", "B", "B", "B", "B", "B", "B", "B", "B", "B", "B", "B", "B", "B", "B", "O", "O", "O", "O", "O", "O", "O", "O", "O", "O", "O", "O", "O", "O", "O", "O", "O", "O", "O", "O", "O", "O", "O", "O", "O", "O", "O", "O", "O", "O", "O", "O", "O", "O", "O", "O", "O", "O", "O", "O", "O", "O", "O", "O", "O", "O", "O", "O", "O", "O", "O", "O", "O", "O", "O", "O", "O", "O", "O", "O"],
  "frac_coords": [[0.398, 0.398, 0.697], [0.800, 0.799, 0.899], [0.201, 0.200, 0.101], [0.602, 0.602, 0.303], [0.000, 0.000, 0.500], [0.710, 0.163, 0.081], [0.110, 0.561, 0.281], [0.509, 0.961, 0.481], [0.909, 0.362, 0.681], [0.310, 0.762, 0.881], [0.238, 0.690, 0.119], [0.638, 0.091, 0.319], [0.039, 0.491, 0.519], [0.439, 0.890, 0.719], [0.837, 0.290, 0.919], [0.251, 0.349, 0.899], [0.651, 0.749, 0.101], [0.052, 0.147, 0.302], [0.453, 0.547, 0.500], [0.853, 0.948, 0.698], [0.499, 0.501, 0.000], [0.900, 0.899, 0.200], [0.300, 0.300, 0.400], [0.700, 0.700, 0.600], [0.101, 0.100, 0.800], [0.851, 0.752, 0.402], [0.248, 0.149, 0.598], [0.649, 0.550, 0.799], [0.049, 0.951, 0.000], [0.450, 0.351, 0.201], [0.389, 0.940, 0.220], [0.794, 0.334, 0.422], [0.189, 0.741, 0.619], [0.589, 0.142, 0.818], [0.989, 0.540, 0.020], [0.666, 0.206, 0.578], [0.060, 0.611, 0.780], [0.460, 0.011, 0.980], [0.858, 0.411, 0.182], [0.259, 0.811, 0.381], [0.640, 0.360, 0.000], [0.039, 0.758, 0.200], [0.442, 0.160, 0.401], [0.840, 0.558, 0.599], [0.242, 0.961, 0.800], [0.471, 0.612, 0.056], [0.872, 0.011, 0.257], [0.271, 0.415, 0.455], [0.674, 0.811, 0.656], [0.071, 0.213, 0.856], [0.388, 0.529, 0.944], [0.787, 0.929, 0.144], [0.189, 0.326, 0.344], [0.585, 0.729, 0.545], [0.989, 0.128, 0.743], [0.909, 0.091, 0.000], [0.308, 0.490, 0.200], [0.706, 0.887, 0.399], [0.113, 0.294, 0.601], [0.510, 0.692, 0.800], [0.416, 0.830, 0.163], [0.818, 0.225, 0.365], [0.222, 0.621, 0.565], [0.618, 0.031, 0.762], [0.016, 0.430, 0.963], [0.170, 0.584, 0.837], [0.570, 0.984, 0.037], [0.969, 0.382, 0.238], [0.379, 0.778, 0.435], [0.775, 0.182, 0.635], [0.082, 0.852, 0.940], [0.484, 0.251, 0.142], [0.889, 0.648, 0.344], [0.273, 0.052, 0.537], [0.680, 0.452, 0.739], [0.711, 0.118, 0.871], [0.113, 0.517, 0.071], [0.513, 0.917, 0.271], [0.920, 0.306, 0.473], [0.308, 0.721, 0.672], [0.730, 0.561, 0.180], [0.130, 0.961, 0.384], [0.534, 0.352, 0.576], [0.932, 0.761, 0.778], [0.331, 0.160, 0.978], [0.439, 0.270, 0.820], [0.840, 0.669, 0.022], [0.239, 0.068, 0.222], [0.648, 0.466, 0.424], [0.039, 0.870, 0.616], [0.148, 0.918, 0.060], [0.548, 0.320, 0.261], [0.948, 0.727, 0.463], [0.352, 0.111, 0.656], [0.749, 0.516, 0.858], [0.882, 0.289, 0.129], [0.279, 0.692, 0.328], [0.694, 0.080, 0.527], [0.083, 0.487, 0.729], [0.483, 0.887, 0.929]]
}


5.
{
  "formula": "Li3GdB2O6",
  "functional": "PBE",
  "state": "relaxed",
  "total_energy_ev_per_atom": -7.852,
  "dos_ef_per_ev_atom": 0.000,
  "space_group": "P2_1/c, No. 14",
  "mass_density_g_cm3": 3.774,
  "magnetic_moment_mub_per_cell": 27.9,
  "cell": [[-1.609, 4.975, 3.877], [-2.623, -5.680, 6.200], [7.001, -2.995, 6.750]],
  "species": ["Li", "Li", "Li", "Li", "Li", "Li", "Li", "Li", "Li", "Li", "Li", "Li", "Gd", "Gd", "Gd", "Gd", "B", "B", "B", "B", "B", "B", "B", "B", "O", "O", "O", "O", "O", "O", "O", "O", "O", "O", "O", "O", "O", "O", "O", "O", "O", "O", "O", "O", "O", "O", "O", "O"],
  "frac_coords": [[0.562, 0.296, 0.666], [0.257, 0.394, 0.479], [0.243, 0.394, 0.979], [0.757, 0.606, 0.021], [0.781, 0.163, 0.541], [0.062, 0.704, 0.834], [0.438, 0.704, 0.334], [0.219, 0.837, 0.459], [0.743, 0.606, 0.521], [0.281, 0.837, 0.959], [0.719, 0.163, 0.041], [0.938, 0.296, 0.166], [0.973, 0.817, 0.200], [0.473, 0.183, 0.300], [0.027, 0.183, 0.800], [0.527, 0.817, 0.700], [0.663, 0.460, 0.323], [0.673, 0.948, 0.892], [0.337, 0.540, 0.677], [0.837, 0.460, 0.823], [0.173, 0.052, 0.608], [0.327, 0.052, 0.108], [0.163, 0.540, 0.177], [0.827, 0.948, 0.392], [0.710, 0.618, 0.311], [0.439, 0.663, 0.553], [0.787, 0.989, 0.986], [0.290, 0.382, 0.689], [0.820, 0.060, 0.242], [0.210, 0.382, 0.189], [0.561, 0.337, 0.447], [0.708, 0.410, 0.213], [0.939, 0.337, 0.947], [0.061, 0.663, 0.053], [0.287, 0.011, 0.514], [0.213, 0.011, 0.014], [0.435, 0.202, 0.062], [0.790, 0.618, 0.811], [0.792, 0.410, 0.713], [0.935, 0.798, 0.438], [0.320, 0.940, 0.258], [0.565, 0.798, 0.938], [0.180, 0.940, 0.758], [0.292, 0.590, 0.787], [0.208, 0.590, 0.287], [0.713, 0.989, 0.486], [0.065, 0.202, 0.562], [0.680, 0.060, 0.742]]
}


6.
{
  "formula": "GdLuB4",
  "functional": "PBE",
  "state": "relaxed",
  "formation_enthalpy_0k_ev_per_atom": 0.29,
  "dos_ef_per_ev_atom": 0.634,
  "space_group": "F-43m, No. 216",
  "mass_density_g_cm3": 8.316,
  "magnetic_moment_mub_per_cell": 7.0,
  "cell": [[-2.878, 1.904, 3.240], [-1.586, -2.636, 3.597], [1.577, 0.794, 4.391]],
  "species": ["Gd", "B", "B", "B", "B", "Lu"],
  "frac_coords": [[0.250, 0.250, 0.250], [0.594, 0.594, 0.219], [0.594, 0.219, 0.594], [0.594, 0.594, 0.594], [0.219, 0.594, 0.594], [0.000, 0.000, 0.000]]
}


7.
{
  "formula": "Gd3MgB",
  "functional": "PBE",
  "state": "relaxed",
  "formation_enthalpy_0k_ev_per_atom": -0.03,
  "dos_ef_per_ev_atom": 1.007,
  "space_group": "Pm-3m, No. 221",
  "mass_density_g_cm3": 6.116,
  "magnetic_moment_mub_per_cell": 23.0,
  "cell": [[-2.651, 0.330, -4.418], [4.225, -1.360, -2.637], [-1.332, -4.970, 0.429]],
  "species": ["Mg", "Gd", "Gd", "Gd", "B"],
  "frac_coords": [[0.500, 0.500, 0.500], [0.000, 0.500, 0.000], [0.000, 0.000, 0.500], [0.500, 0.000, 0.000], [0.000, 0.000, 0.000]]
}


8.
{
  "formula": "GdMnB4",
  "functional": "PBE",
  "state": "relaxed",
  "formation_enthalpy_0k_ev_per_atom": -0.62,
  "dos_ef_per_ev_atom": 0.187,
  "space_group": "Pbam, No. 55",
  "mass_density_g_cm3": 7.265,
  "magnetic_moment_mub_per_cell": 23.9,
  "cell": [[-0.166, 2.831, 1.923], [1.499, -3.167, 4.792], [11.097, 2.076, -2.100]],
  "species": ["Gd", "Gd", "Gd", "Gd", "Mn", "Mn", "Mn", "Mn", "B", "B", "B", "B", "B", "B", "B", "B", "B", "B", "B", "B", "B", "B", "B", "B"],
  "frac_coords": [[0.000, 0.875, 0.849], [0.000, 0.375, 0.651], [0.000, 0.125, 0.151], [0.000, 0.625, 0.349], [0.000, 0.372, 0.916], [0.000, 0.628, 0.084], [0.000, 0.128, 0.416], [0.000, 0.872, 0.584], [0.500, 0.720, 0.683], [0.500, 0.525, 0.810], [0.500, 0.780, 0.183], [0.500, 0.612, 0.954], [0.500, 0.025, 0.690], [0.500, 0.975, 0.310], [0.500, 0.475, 0.190], [0.500, 0.639, 0.532], [0.500, 0.361, 0.468], [0.500, 0.112, 0.546], [0.500, 0.139, 0.968], [0.500, 0.388, 0.046], [0.500, 0.861, 0.032], [0.500, 0.888, 0.454], [0.500, 0.220, 0.817], [0.500, 0.280, 0.317]]
}


9.
{
  "formula": "Gd3MnB7",
  "functional": "PBE",
  "state": "relaxed",
  "formation_enthalpy_0k_ev_per_atom": -0.55,
  "dos_ef_per_ev_atom": 0.391,
  "space_group": "Cmcm, No. 63",
  "mass_density_g_cm3": 7.771,
  "magnetic_moment_mub_per_cell": 42.3,
  "cell": [[-7.642, 0.734, -2.763], [-8.139, 0.043, 0.573], [0.184, 9.172, 1.927]],
  "species": ["Gd", "Gd", "Gd", "Gd", "Gd", "Gd", "Mn", "Mn", "B", "B", "B", "B", "B", "B", "B", "B", "B", "B", "B", "B", "B", "B"],
  "frac_coords": [[0.104, 0.104, 0.062], [0.896, 0.896, 0.562], [0.896, 0.896, 0.938], [0.104, 0.104, 0.438], [0.759, 0.759, 0.250], [0.241, 0.241, 0.750], [0.946, 0.946, 0.250], [0.054, 0.054, 0.750], [0.537, 0.537, 0.250], [0.463, 0.463, 0.750], [0.273, 0.273, 0.031], [0.727, 0.727, 0.531], [0.727, 0.727, 0.969], [0.273, 0.273, 0.469], [0.370, 0.370, 0.347], [0.630, 0.630, 0.847], [0.630, 0.630, 0.653], [0.370, 0.370, 0.153], [0.477, 0.477, 0.402], [0.523, 0.523, 0.902], [0.523, 0.523, 0.598], [0.477, 0.477, 0.098]]
}


10.
{
  "formula": "GdB2Mo",
  "functional": "PBE",
  "state": "relaxed",
  "formation_enthalpy_0k_ev_per_atom": -0.05,
  "dos_ef_per_ev_atom": 0.553,
  "space_group": "R-3m, No. 166",
  "mass_density_g_cm3": 7.985,
  "magnetic_moment_mub_per_cell": 7.1,
  "cell": [[3.373, 0.000, 0.000], [1.686, 2.921, 0.000], [1.686, 0.974, 5.801]],
  "species": ["Mo", "Gd", "B", "B"],
  "frac_coords": [[0.000, 0.000, 0.000], [0.500, 0.500, 0.500], [0.733, 0.733, 0.802], [0.267, 0.267, 0.198]]
}


11.
{
  "formula": "GdB4Mo",
  "functional": "PBE",
  "state": "relaxed",
  "formation_enthalpy_0k_ev_per_atom": -0.61,
  "dos_ef_per_ev_atom": 0.043,
  "space_group": "Pbam, No. 55",
  "mass_density_g_cm3": 7.614,
  "magnetic_moment_mub_per_cell": 27.9,
  "cell": [[3.646, 0.000, 0.000], [0.000, 6.057, 0.000], [0.000, 0.000, 11.711]],
  "species": ["Gd", "Gd", "Gd", "Gd", "B", "B", "B", "B", "B", "B", "B", "B", "B", "B", "B", "B", "B", "B", "B", "B", "Mo", "Mo", "Mo", "Mo"],
  "frac_coords": [[0.000, 0.626, 0.350], [0.000, 0.374, 0.650], [0.000, 0.126, 0.150], [0.000, 0.874, 0.850], [0.500, 0.785, 0.186], [0.500, 0.215, 0.814], [0.500, 0.285, 0.314], [0.500, 0.715, 0.686], [0.500, 0.866, 0.032], [0.500, 0.134, 0.968], [0.500, 0.366, 0.468], [0.500, 0.634, 0.532], [0.500, 0.886, 0.453], [0.500, 0.114, 0.547], [0.500, 0.386, 0.047], [0.500, 0.614, 0.953], [0.500, 0.976, 0.307], [0.500, 0.024, 0.693], [0.500, 0.476, 0.193], [0.500, 0.524, 0.807], [0.000, 0.629, 0.083], [0.000, 0.371, 0.917], [0.000, 0.129, 0.417], [0.000, 0.871, 0.583]]
}


12.
{
  "formula": "GdB3N3",
  "functional": "PBE",
  "state": "relaxed",
  "total_energy_ev_per_atom": -8.239,
  "dos_ef_per_ev_atom": 0.664,
  "space_group": "Pm-3n, No. 223",
  "mass_density_g_cm3": 6.881,
  "magnetic_moment_mub_per_cell": 13.5,
  "cell": [[4.818, 0.000, 0.000], [0.000, 4.818, 0.000], [0.000, 0.000, 4.818]],
  "species": ["Gd", "Gd", "B", "B", "B", "B", "B", "B", "N", "N", "N", "N", "N", "N"],
  "frac_coords": [[0.500, 0.500, 0.500], [0.000, 0.000, 0.000], [0.250, 0.000, 0.500], [0.000, 0.500, 0.250], [0.500, 0.750, 0.000], [0.750, 0.000, 0.500], [0.000, 0.500, 0.750], [0.500, 0.250, 0.000], [0.000, 0.250, 0.500], [0.000, 0.750, 0.500], [0.500, 0.000, 0.750], [0.750, 0.500, 0.000], [0.500, 0.000, 0.250], [0.250, 0.500, 0.000]]
}